Below is a relaxed V2RhWN crystal, with properties calculated at the PBE-GGA level.

a = 3.9450 Å, b = 3.9450 Å, c = 4.0730 Å
α = 90.00°, β = 90.00°, γ = 90.00°
Last column: nearest neighbours and their distance in Å.
Space group P4/mmm (No. 123)
Unique sites:
V 0.0000 0.5000 0.0000 x2  2 N 1.97
Rh 0.0000 0.0000 0.5000 x1  4 W 2.79, 8 V 2.84
W 0.5000 0.5000 0.5000 x1  2 N 2.04
N 0.5000 0.5000 0.0000 x1  4 V 1.97, 2 W 2.04

Computed properties:
N(E_F) = 4.3 states/eV/f.u.
raw formation energy = -0.465 eV/atom
polymorph energy (0 for the lowest one) = 0 meV per atom
ρ = 10548 kg/m3